Entry 1:
GGA-PBE BaLi2SiAg, optimized geometry; formation energy without anion corrections = -0.07 eV per atom; space-group type = P4/mmm (123); excess energy over the best structure of this formula in the dataset = 0.35 eV/f.u.
1.0
-4.210 -0.010 2.854
0.990 -4.775 1.443
2.542 1.663 3.756
Si Ba Ag Li
1 1 1 2
Cartesian
1.271 0.831 1.878 Si
-0.339 -1.562 4.027 Ba
0.000 0.000 0.000 Ag
0.495 -2.388 0.722 Li
-2.105 -0.005 1.427 Li

---

Entry 2:
GGA-PBE Al3ZnGa2, optimized geometry; space-group type = P-1 (2); excess energy over the best structure of this formula in the dataset = 0.00 eV/f.u.
1.0
4.282 0.354 2.511
2.622 6.443 1.300
3.550 0.433 17.274
Al Zn Ga
12 4 8
Cartesian
4.897 4.528 6.827 Al
5.557 2.701 14.258 Al
3.134 3.262 3.320 Al
2.510 2.997 6.115 Al
7.320 3.967 17.764 Al
7.944 4.232 14.970 Al
6.174 3.016 11.435 Al
4.955 2.484 17.070 Al
4.280 4.213 9.650 Al
5.499 4.745 4.015 Al
7.244 5.978 7.526 Al
3.210 1.251 13.558 Al
2.662 0.645 4.480 Zn
2.099 0.370 7.248 Zn
7.791 6.584 16.604 Zn
8.354 6.859 13.837 Zn
4.434 1.903 7.945 Ga
5.038 2.165 5.125 Ga
6.019 5.326 13.140 Ga
5.416 5.064 15.960 Ga
3.561 5.863 2.194 Ga
6.644 5.656 10.323 Ga
6.892 1.366 18.891 Ga
3.810 1.573 10.762 Ga

---

Entry 3:
GGA-PBE TiCl3O, optimized geometry; formation energy without anion corrections = 0.29 eV per atom; space-group type = Pm-3m (221)
1.0
-1.943 -1.786 3.672
3.811 0.667 2.341
-1.466 4.100 1.218
Cl O Ti
3 1 1
Cartesian
1.905 0.333 1.171 Cl
-0.733 2.050 0.609 Cl
-0.972 -0.893 1.836 Cl
0.000 0.000 0.000 O
0.200 1.491 3.616 Ti

---

Entry 4:
GGA-PBE La2Nd5Dy2, optimized geometry; space-group type = C2/m (12); excess energy over the best structure of this formula in the dataset = 0.00 eV/f.u.
1.0
4.932 0.000 -1.636
-0.821 7.756 -2.474
-0.017 0.021 8.200
La Nd Dy
2 5 2
Cartesian
2.460 7.760 -0.837 La
1.635 0.017 4.928 La
2.471 2.607 -0.802 Nd
1.623 5.170 4.893 Nd
4.091 2.619 4.079 Nd
0.004 5.158 0.012 Nd
0.000 0.000 0.000 Nd
3.281 5.154 1.637 Dy
0.814 2.623 2.453 Dy

---

Entry 5:
GGA-PBE NaNi4H7, optimized geometry; space-group type = I4/mmm (139)
1.0
-2.018 2.936 0.392
-0.394 -0.736 3.483
11.308 7.390 2.839
Na Ni H
2 8 14
Cartesian
4.324 4.649 4.232 Na
-0.124 -0.146 0.877 Na
8.655 7.480 5.321 Ni
2.505 1.333 3.327 Ni
1.694 3.170 1.782 Ni
6.853 4.414 2.627 Ni
4.207 2.685 1.963 Ni
-0.007 1.819 3.147 Ni
8.160 5.029 4.747 Ni
7.348 6.865 3.201 Ni
1.112 0.422 2.978 H
3.088 4.081 2.131 H
8.742 7.776 3.552 H
6.766 4.118 4.396 H
3.900 2.245 3.676 H
0.299 2.259 1.433 H
7.254 6.564 4.969 H
8.254 5.330 2.979 H
2.805 1.769 1.611 H
1.394 2.735 3.498 H
-1.330 0.953 2.816 H
5.530 3.549 2.293 H
9.554 5.940 5.098 H
5.954 5.954 2.851 H

---

Entry 6:
GGA-PBE Ho9ErIn2, optimized geometry; space-group type = P4/mmm (123)
1.0
-1.957 -2.227 3.837
4.273 0.183 2.286
-3.650 13.147 5.768
Ho Er In
9 1 2
Cartesian
1.158 -1.022 3.062 Ho
-0.072 3.408 5.005 Ho
-1.262 7.695 6.886 Ho
-1.605 1.143 2.909 Ho
-2.803 5.460 4.803 Ho
-4.002 9.777 6.697 Ho
1.510 2.348 2.133 Ho
0.312 6.665 4.027 Ho
-0.887 10.982 5.921 Ho
0.000 0.000 0.000 Er
-1.237 4.455 1.955 In
-2.413 8.692 3.814 In

---

Which uncorrected energy belongs to each record? In order, -2.879, -3.062, -3.388, -4.748, -4.076, -4.435 eV/atom.